Compound: MnOsNO2
Source: Alexandria
Functional: GGA+U
Structure: relaxed

The mass density comes out at 8152 kg/m³. Its electronic total energy is -38.267 eV for the cell shown. For the density of states at the Fermi level, the calculation gives 2.06 states/eV/cell.

The space group is P4/mmm (No. 123) and the conventional cell measures 3.9528, 3.9528 and 3.7960 Å, with angles of 90.00, 90.00 and 90.00 degrees. The asymmetric unit holds Mn at (0.0000, 0.0000, 0.0000), Os at (0.5000, 0.5000, 0.5000), N at (0.5000, 0.5000, 0.0000) and O at (0.0000, 0.5000, 0.5000).